a) Compound: Y2Se2Cl
Source: Alexandria via LeMat-Bulk
Functional: PBE
Structure: optimized geometry

```
10
Lattice="6.4170 -2.8445 0.0000 6.4170 2.8445 0.0000 -2.9456 0.0000 7.5624" Properties=species:S:1:pos:R:3 pbc="T T T"
Y -0.6468 0.0000 1.8515
Y 1.6082 0.0000 6.9651
Y 8.2803 0.0000 0.5973
Y 10.5352 0.0000 5.7108
Se 1.9630 0.0000 0.7302
Se 4.1093 0.0000 5.5866
Se 5.7791 0.0000 1.9757
Se 7.9254 0.0000 6.8322
Cl 0.1993 0.0000 4.5166
Cl 9.6891 0.0000 3.0458
```

Summary:
M_tot, μB per formula unit: 0.00
SG: No. 12

=====

b) Compound: Y2Se2Cl
Source: Alexandria via LeMat-Bulk
Functional: PBE
Structure: optimized geometry

```
10
Lattice="7.8171 0.0000 0.0000 0.0000 7.8171 0.0000 0.0000 0.0000 3.7980" Properties=species:S:1:pos:R:3 pbc="T T T"
Y 1.2113 2.6973 0.0000
Y 2.6973 6.6059 0.0000
Y 5.1198 1.2113 0.0000
Y 6.6059 5.1198 0.0000
Se 1.1171 5.0257 1.8990
Se 2.7914 1.1171 1.8990
Se 5.0257 6.7000 1.8990
Se 6.7000 2.7914 1.8990
Cl 0.0000 0.0000 0.0000
Cl 3.9086 3.9086 0.0000
```

Summary:
M_tot, μB per formula unit: 0.00
SG: No. 127

=====

c) Compound: Y2Se2Cl
Source: Alexandria via LeMat-Bulk
Functional: PBE
Structure: optimized geometry

```
5
Lattice="-2.4941 2.4941 6.3062 2.4941 -2.4941 6.3062 2.4941 2.4941 -6.3062" Properties=species:S:1:pos:R:3 pbc="T T T"
Y 0.0000 0.0000 1.8622
Y 0.0000 0.0000 10.7502
Se 2.4941 0.0000 3.1531
Se 0.0000 2.4941 3.1531
Cl 0.0000 0.0000 6.3062
```

Summary:
M_tot, μB per formula unit: 1.00
SG: No. 139

=====

Order from most stable to least stable according to the calculation: a), b), c)

=====

a) Compound: YSe3Cl
Source: Alexandria via LeMat-Bulk
Functional: PBE
Structure: optimized geometry

```
5
Lattice="5.5770 0.0000 0.0000 0.0000 5.5770 0.0000 0.0000 0.0000 5.5770" Properties=species:S:1:pos:R:3 pbc="T T T"
Y 0.0000 0.0000 0.0000
Se 0.0000 0.0000 2.7885
Se 0.0000 2.7885 0.0000
Se 2.7885 0.0000 0.0000
Cl 2.7885 2.7885 2.7885
```

Summary:
M_tot, μB per formula unit: 4.00
SG: No. 221

=====

b) Compound: YSe3Cl
Source: Alexandria via LeMat-Bulk
Functional: PBE
Structure: optimized geometry

```
5
Lattice="4.9590 0.0000 0.0000 0.0000 4.9590 0.0000 0.0000 0.0000 4.9590" Properties=species:S:1:pos:R:3 pbc="T T T"
Y 0.0000 0.0000 0.0000
Se 0.0000 2.4795 2.4795
Se 2.4795 0.0000 2.4795
Se 2.4795 2.4795 0.0000
Cl 2.4795 2.4795 2.4795
```

Summary:
M_tot, μB per formula unit: 0.00
SG: No. 221

=====

Order from most stable to least stable according to the calculation: a), b)